Entry 1:
# SrLa2As | Alexandria | GGA-PBEsol | optimized geometry
data_SrLa2As
_chemical_formula_sum 'Sr1 La2 As1'
_cell_length_a 5.427
_cell_length_b 5.427
_cell_length_c 5.427
_cell_angle_alpha 60.00
_cell_angle_beta 60.00
_cell_angle_gamma 60.00
_space_group_name_H-M_alt 'P 1'
_space_group_IT_number 1
loop_
_space_group_symop_operation_xyz
'x,y,z'
loop_
_atom_site_label
_atom_site_fract_x
_atom_site_fract_y
_atom_site_fract_z
La1 0.000 0.000 0.000
La2 0.750 0.750 0.750
Sr1 0.250 0.250 0.250
As1 0.500 0.500 0.500
# * M_tot: 0.02 μB per atom
# * theoretical density: 6.5 g/cm3
# * E_form: -112 meV/atom

=====

Entry 2:
# Ta2InAsOs | Alexandria | GGA-PBEsol | optimized geometry
data_Ta2InAsOs
_chemical_formula_sum 'Ta2 In1 As1 Os1'
_cell_length_a 4.632
_cell_length_b 4.632
_cell_length_c 4.786
_cell_angle_alpha 90.00
_cell_angle_beta 90.00
_cell_angle_gamma 90.00
_space_group_name_H-M_alt 'P 1'
_space_group_IT_number 1
loop_
_space_group_symop_operation_xyz
'x,y,z'
loop_
_atom_site_label
_atom_site_fract_x
_atom_site_fract_y
_atom_site_fract_z
Ta1 0.500 0.000 0.000
In1 0.000 0.000 0.500
Os1 0.500 0.500 0.500
As1 0.000 0.000 0.000
Ta2 0.000 0.500 0.000
# * M_tot: 0.00 μB per atom
# * theoretical density: 12.0 g/cm3
# * E_form: 1557 meV/atom

=====

Entry 3:
# As2IrCl | Alexandria | GGA-PBEsol | optimized geometry
data_As2IrCl
_chemical_formula_sum 'As2 Ir1 Cl1'
_cell_length_a 2.882
_cell_length_b 4.747
_cell_length_c 4.747
_cell_angle_alpha 90.00
_cell_angle_beta 90.00
_cell_angle_gamma 90.00
_space_group_name_H-M_alt 'P 1'
_space_group_IT_number 1
loop_
_space_group_symop_operation_xyz
'x,y,z'
loop_
_atom_site_label
_atom_site_fract_x
_atom_site_fract_y
_atom_site_fract_z
Cl1 0.500 0.500 0.500
As1 0.000 0.000 0.500
Ir1 0.500 0.000 0.000
As2 0.000 0.500 0.000
# * raw formation energy: 0.45 eV/atom
# * relative energy among the computed polymorphs: 0.6726 eV per atom
# * M_tot: 0.00 μB per atom
# * theoretical density: 9.7 g/cm3

=====

Entry 4:
# Mg3SnBr | Alexandria | GGA-PBEsol | optimized geometry
data_Mg3SnBr
_chemical_formula_sum 'Mg3 Sn1 Br1'
_cell_length_a 5.130
_cell_length_b 5.130
_cell_length_c 5.130
_cell_angle_alpha 90.00
_cell_angle_beta 90.00
_cell_angle_gamma 90.00
_space_group_name_H-M_alt 'P 1'
_space_group_IT_number 1
loop_
_space_group_symop_operation_xyz
'x,y,z'
loop_
_atom_site_label
_atom_site_fract_x
_atom_site_fract_y
_atom_site_fract_z
Mg1 0.000 0.000 0.500
Br1 0.000 0.000 0.000
Mg2 0.500 0.000 0.000
Sn1 0.500 0.500 0.500
Mg3 0.000 0.500 0.000
# * raw formation energy: 0.19 eV/atom
# * M_tot: 0.00 μB per atom
# * theoretical density: 3.3 g/cm3